VASP calculation (PBE-GGA) on a geometry-optimized SeSBr2 structure.

Lattice parameters (Å, degrees): 8.766 8.766 8.766 26.45 26.45 26.45
Fractional coordinates of all 4 atoms:
Se  0.000  0.000  0.000
S  0.500  0.500  0.500
Br  0.098  0.098  0.098
Br  0.902  0.902  0.902

For the total energy, the calculation gives -2.072 eV/atom. The value obtained for the uncorrected formation energy is 0.667 eV/atom. For the relative energy among the computed polymorphs, the calculation gives 0.674 eV per atom. The space group is R-3m (166). The total magnetization comes out at 0.000 μB per atom.

VASP calculation (PBE-GGA) on a geometry-optimized Tb5CeY structure.

Lattice parameters (Å, degrees): 6.523 6.523 12.602 96.10 96.10 59.69
Fractional coordinates of all 14 atoms:
Tb  0.164  0.165  0.055
Tb  0.165  0.164  0.555
Tb  0.239  0.761  0.750
Tb  0.268  0.268  0.320
Tb  0.268  0.268  0.820
Tb  0.732  0.732  0.180
Tb  0.732  0.732  0.680
Tb  0.761  0.239  0.250
Tb  0.835  0.836  0.445
Tb  0.836  0.835  0.945
Ce  0.500  0.500  0.000
Ce  0.500  0.500  0.500
Y  0.238  0.762  0.250
Y  0.762  0.238  0.750

For the total energy, the calculation gives -4.857 eV/atom. The space group is C2/c (15). The total magnetization comes out at 0.156 μB per atom.

VASP calculation (PBE-GGA) on a geometry-optimized NdPuP structure.

Lattice parameters (Å, degrees): 3.873 3.873 6.599 90.00 90.00 120.00
Fractional coordinates of all 3 atoms:
Nd  0.000  0.000  0.000
Pu  0.667  0.333  0.518
P  0.333  0.667  0.268

For the total energy, the calculation gives -8.843 eV/atom. The space group is P3m1 (156). The total magnetization comes out at 2.080 μB per atom.

VASP calculation (PBE-GGA) on a geometry-optimized AcLa4Nd3 structure.

Lattice parameters (Å, degrees): 10.623 7.482 7.471 90.00 90.00 90.00
Fractional coordinates of all 16 atoms:
Ac  0.000  0.000  0.000
Ac  0.500  0.000  0.500
La  0.000  0.000  0.500
La  0.000  0.500  0.000
La  0.250  0.255  0.250
La  0.250  0.745  0.750
La  0.500  0.000  0.000
La  0.500  0.500  0.500
La  0.750  0.255  0.250
La  0.750  0.745  0.750
Nd  0.000  0.500  0.500
Nd  0.250  0.254  0.750
Nd  0.250  0.746  0.250
Nd  0.500  0.500  0.000
Nd  0.750  0.254  0.750
Nd  0.750  0.746  0.250

For the total energy, the calculation gives -4.750 eV/atom. For the relative energy among the computed polymorphs, the calculation gives 0.000 eV per atom. The space group is Pmn2_1 (31). The total magnetization comes out at 0.000 μB per atom.

VASP calculation (PBE-GGA) on a geometry-optimized Sc2SiGe2 structure.

Lattice parameters (Å, degrees): 7.045 7.045 4.041 90.00 90.00 90.00
Fractional coordinates of all 10 atoms:
Sc  0.176  0.324  0.000
Sc  0.324  0.824  0.000
Sc  0.676  0.176  0.000
Sc  0.824  0.676  0.000
Si  0.000  0.000  0.000
Si  0.500  0.500  0.000
Ge  0.129  0.629  0.500
Ge  0.371  0.129  0.500
Ge  0.629  0.871  0.500
Ge  0.871  0.371  0.500

For the total energy, the calculation gives -5.880 eV/atom. The value obtained for the uncorrected formation energy is -0.416 eV/atom. For the relative energy among the computed polymorphs, the calculation gives 0.115 eV per atom. The space group is P4/mbm (127). The total magnetization comes out at 0.000 μB per atom.

VASP calculation (PBE-GGA) on a geometry-optimized HgPRh2 structure.

Lattice parameters (Å, degrees): 8.744 8.744 8.744 19.68 19.68 19.68
Fractional coordinates of all 4 atoms:
Hg  0.000  0.000  0.000
P  0.234  0.234  0.234
Rh  0.508  0.508  0.508
Rh  0.755  0.755  0.755

For the total energy, the calculation gives -5.000 eV/atom. The space group is R3m (160). The total magnetization comes out at 0.108 μB per atom.

VASP calculation (PBE-GGA) on a geometry-optimized TcRhS2 structure.

Lattice parameters (Å, degrees): 4.259 4.259 4.259 60.00 60.00 60.00
Fractional coordinates of all 4 atoms:
Tc  0.000  0.000  0.000
Rh  0.500  0.500  0.500
S  0.250  0.250  0.250
S  0.750  0.750  0.750

For the total energy, the calculation gives -6.389 eV/atom. The value obtained for the uncorrected formation energy is 0.104 eV/atom. For the relative energy among the computed polymorphs, the calculation gives 0.332 eV per atom. The space group is Fm-3m (225). The total magnetization comes out at 0.000 μB per atom.

VASP calculation (PBE-GGA) on a geometry-optimized NiOs2Se structure.

Lattice parameters (Å, degrees): 2.864 2.864 6.966 90.00 90.00 90.00
Fractional coordinates of all 4 atoms:
Ni  0.000  0.000  0.000
Os  0.000  0.000  0.500
Os  0.500  0.500  0.261
Se  0.500  0.500  0.779

For the total energy, the calculation gives -7.543 eV/atom. The value obtained for the uncorrected formation energy is 0.388 eV/atom. The space group is P4mm (99). The total magnetization comes out at 0.000 μB per atom.

VASP calculation (PBE-GGA) on a geometry-optimized CaNdSmTl structure.

Lattice parameters (Å, degrees): 5.618 5.618 5.618 60.00 60.00 60.00
Fractional coordinates of all 4 atoms:
Ca  0.000  0.000  0.000
Nd  0.750  0.750  0.750
Sm  0.250  0.250  0.250
Tl  0.500  0.500  0.500

For the total energy, the calculation gives -3.569 eV/atom. The space group is F-43m (216). The total magnetization comes out at 0.000 μB per atom.

VASP calculation (PBE-GGA) on a geometry-optimized ZnO structure.

Lattice parameters (Å, degrees): 5.623 5.623 3.288 90.00 90.00 90.00
Fractional coordinates of all 8 atoms:
Zn  0.182  0.182  0.000
Zn  0.318  0.682  0.500
Zn  0.682  0.318  0.500
Zn  0.818  0.818  0.000
O  0.181  0.819  0.000
O  0.319  0.319  0.500
O  0.681  0.681  0.500
O  0.819  0.181  0.000

For the total energy, the calculation gives -4.527 eV/atom. The value obtained for the uncorrected formation energy is -1.411 eV/atom. The space group is P4_2/mnm (136). The total magnetization comes out at 0.000 μB per atom.

VASP calculation (PBE-GGA) on a geometry-optimized Re2IrW structure.

Lattice parameters (Å, degrees): 9.242 9.242 9.242 17.29 17.29 17.29
Fractional coordinates of all 4 atoms:
Re  0.000  0.000  0.000
Re  0.253  0.253  0.253
Ir  0.751  0.751  0.751
W  0.499  0.499  0.499

For the total energy, the calculation gives -11.661 eV/atom. For the relative energy among the computed polymorphs, the calculation gives 0.113 eV per atom. The space group is R3m (160). The total magnetization comes out at 0.000 μB per atom.

VASP calculation (PBE-GGA) on a geometry-optimized Zn6AgRh3 structure.

Lattice parameters (Å, degrees): 7.345 4.418 9.487 90.00 110.62 90.00
Fractional coordinates of all 20 atoms:
Zn  0.036  0.250  0.418
Zn  0.149  0.750  0.186
Zn  0.226  0.250  0.006
Zn  0.336  0.250  0.324
Zn  0.340  0.750  0.772
Zn  0.437  0.250  0.617
Zn  0.563  0.750  0.383
Zn  0.660  0.250  0.228
Zn  0.664  0.750  0.676
Zn  0.774  0.750  0.994
Zn  0.851  0.250  0.814
Zn  0.964  0.750  0.582
Ag  0.454  0.750  0.081
Ag  0.546  0.250  0.919
Rh  0.047  0.750  0.884
Rh  0.145  0.250  0.711
Rh  0.270  0.750  0.481
Rh  0.730  0.250  0.519
Rh  0.855  0.750  0.289
Rh  0.953  0.250  0.116

For the total energy, the calculation gives -3.546 eV/atom. The space group is P2_1/m (11). The total magnetization comes out at 0.000 μB per atom.

VASP calculation (PBE-GGA) on a geometry-optimized PmYRuPt structure.

Lattice parameters (Å, degrees): 4.944 4.944 4.944 60.00 60.00 60.00
Fractional coordinates of all 4 atoms:
Pm  0.000  0.000  0.000
Y  0.500  0.500  0.500
Ru  0.750  0.750  0.750
Pt  0.250  0.250  0.250

For the total energy, the calculation gives -7.306 eV/atom. For the relative energy among the computed polymorphs, the calculation gives 0.045 eV per atom. The space group is F-43m (216). The total magnetization comes out at 0.000 μB per atom.

VASP calculation (PBE-GGA) on a geometry-optimized ZnRuSe2 structure.

Lattice parameters (Å, degrees): 2.937 2.937 8.944 90.00 90.00 90.00
Fractional coordinates of all 4 atoms:
Zn  0.000  0.000  0.000
Ru  0.500  0.500  0.204
Se  0.000  0.000  0.360
Se  0.500  0.500  0.745

For the total energy, the calculation gives -4.419 eV/atom. The value obtained for the uncorrected formation energy is -0.039 eV/atom. The space group is P4mm (99). The total magnetization comes out at 0.000 μB per atom.

VASP calculation (PBE-GGA) on a geometry-optimized SmMg3Tl2 structure.

Lattice parameters (Å, degrees): 8.989 8.989 7.845 111.09 111.09 31.08
Fractional coordinates of all 12 atoms:
Sm  0.117  0.117  0.180
Sm  0.883  0.883  0.820
Mg  0.071  0.071  0.700
Mg  0.302  0.302  0.081
Mg  0.370  0.370  0.495
Mg  0.630  0.630  0.505
Mg  0.698  0.698  0.919
Mg  0.929  0.929  0.300
Tl  0.239  0.239  0.672
Tl  0.482  0.482  0.174
Tl  0.518  0.518  0.826
Tl  0.761  0.761  0.328

For the total energy, the calculation gives -2.538 eV/atom. The space group is C2/m (12). The total magnetization comes out at 0.000 μB per atom.

VASP calculation (PBE-GGA) on a geometry-optimized BaSn3Pt structure.

Lattice parameters (Å, degrees): 6.652 6.652 6.652 136.27 136.27 63.56
Fractional coordinates of all 5 atoms:
Ba  0.000  0.000  0.000
Sn  0.250  0.750  0.500
Sn  0.414  0.414  0.000
Sn  0.750  0.250  0.500
Pt  0.650  0.650  0.000

For the total energy, the calculation gives -4.678 eV/atom. The space group is I4mm (107). The total magnetization comes out at 0.000 μB per atom.

VASP calculation (PBE-GGA) on a geometry-optimized MgSc4S5 structure.

Lattice parameters (Å, degrees): 6.397 6.397 6.397 99.58 99.58 131.84
Fractional coordinates of all 10 atoms:
Mg  0.000  0.000  0.000
Sc  0.197  0.600  0.796
Sc  0.400  0.197  0.597
Sc  0.600  0.803  0.403
Sc  0.803  0.400  0.204
S  0.098  0.293  0.391
S  0.293  0.902  0.196
S  0.500  0.500  0.000
S  0.707  0.098  0.804
S  0.902  0.707  0.609

For the total energy, the calculation gives -6.503 eV/atom. The value obtained for the uncorrected formation energy is -1.747 eV/atom. The space group is I4/m (87). The total magnetization comes out at 0.000 μB per atom.

VASP calculation (PBE-GGA) on a geometry-optimized SmDy6Ga3 structure.

Lattice parameters (Å, degrees): 8.324 8.324 8.258 90.00 90.00 99.64
Fractional coordinates of all 20 atoms:
Sm  0.167  0.833  0.500
Sm  0.833  0.167  0.000
Dy  0.087  0.444  0.279
Dy  0.101  0.233  0.637
Dy  0.233  0.101  0.137
Dy  0.276  0.724  0.988
Dy  0.444  0.087  0.779
Dy  0.465  0.535  0.660
Dy  0.535  0.465  0.160
Dy  0.556  0.913  0.279
Dy  0.724  0.276  0.488
Dy  0.767  0.899  0.637
Dy  0.899  0.767  0.137
Dy  0.913  0.556  0.779
Ga  0.070  0.930  0.835
Ga  0.218  0.381  0.940
Ga  0.381  0.218  0.440
Ga  0.619  0.782  0.940
Ga  0.782  0.619  0.440
Ga  0.930  0.070  0.335

For the total energy, the calculation gives -4.447 eV/atom. The space group is Cmc2_1 (36). The total magnetization comes out at 0.000 μB per atom.

VASP calculation (PBE-GGA) on a geometry-optimized TbErCuOs structure.

Lattice parameters (Å, degrees): 4.842 4.842 4.842 60.00 60.00 60.00
Fractional coordinates of all 4 atoms:
Tb  0.000  0.000  0.000
Er  0.500  0.500  0.500
Cu  0.750  0.750  0.750
Os  0.250  0.250  0.250

For the total energy, the calculation gives -6.398 eV/atom. The space group is F-43m (216). The total magnetization comes out at 0.000 μB per atom.

VASP calculation (PBE-GGA) on a geometry-optimized Tl5Cd2Hg2 structure.

Lattice parameters (Å, degrees): 9.175 9.175 8.076 90.00 90.00 51.98
Fractional coordinates of all 18 atoms:
Tl  0.000  0.000  0.000
Tl  0.040  0.680  0.679
Tl  0.180  0.540  0.179
Tl  0.320  0.960  0.679
Tl  0.460  0.820  0.179
Tl  0.500  0.500  0.500
Tl  0.540  0.180  0.821
Tl  0.680  0.040  0.321
Tl  0.820  0.460  0.821
Tl  0.960  0.320  0.321
Cd  0.214  0.214  0.000
Cd  0.286  0.286  0.500
Cd  0.714  0.714  0.500
Cd  0.786  0.786  0.000
Hg  0.128  0.872  0.369
Hg  0.372  0.628  0.869
Hg  0.628  0.372  0.131
Hg  0.872  0.128  0.631

For the total energy, the calculation gives -1.536 eV/atom. The space group is Cmce (64). The total magnetization comes out at 0.000 μB per atom.